Record 1
A relaxed HfTc crystal. Source: the Open Quantum Materials Database, functional GGA-PBE.

Cell lengths 3.176, 3.176, 8.157 Å; angles 90.00, 90.00, 120.00 degrees
Element x y z (fractional)
Tc 0.667 0.333 0.750
Hf 0.000 0.000 0.500
Tc 0.333 0.667 0.250
Hf 0.000 0.000 0.000

Summary:
DFT formation energy: -0.07 eV/atom
DFT total energy: -20.446 eV/f.u.
V: 71 Å³/cell
Space group: P6_3/mmc

---

Record 2
A relaxed NaLaAg crystal. Source: the Open Quantum Materials Database, functional GGA-PBE.

Cell lengths 5.107, 5.107, 5.107 Å; angles 60.00, 60.00, 60.00 degrees
Element x y z (fractional)
La 0.250 0.250 0.250
Ag 0.000 0.000 0.000
Na 0.750 0.750 0.750

Summary:
DFT total energy: -8.841 eV/f.u.
V: 94 Å³/cell
Space group: F-43m

---

Record 3
A relaxed Tb2SmAl3Ni3 crystal. Source: the Open Quantum Materials Database, functional GGA-PBE.

Cell lengths 3.932, 7.001, 7.001 Å; angles 119.78, 90.00, 90.00 degrees
Element x y z (fractional)
Ni 0.000 0.002 0.002
Tb 0.000 0.417 0.000
Al 0.500 0.767 0.003
Al 0.500 0.232 0.232
Al 0.500 0.003 0.767
Sm 0.000 0.581 0.581
Tb 0.000 0.000 0.417
Ni 0.500 0.330 0.668
Ni 0.500 0.668 0.330

Summary:
DFT total energy: -47.162 eV/f.u.
V: 167 Å³/cell
Space group: Amm2

---

Record 4
A relaxed DySbPO crystal. Source: the Open Quantum Materials Database, functional GGA-PBE.

Cell lengths 3.662, 6.646, 7.052 Å; angles 90.00, 90.00, 90.00 degrees
Element x y z (fractional)
P 0.000 0.393 0.301
O 0.500 0.041 0.967
Sb 0.500 0.716 0.043
Dy 0.000 0.204 0.944
P 0.000 0.607 0.801
Sb 0.500 0.284 0.543
Dy 0.000 0.796 0.444
O 0.500 0.959 0.467

Summary:
DFT total energy: -24.064 eV/f.u.
V: 172 Å³/cell
Space group: Pmc2_1

---

Record 5
A relaxed YErGeI2 crystal. Source: the Open Quantum Materials Database, functional GGA-PBE.

Cell lengths 4.231, 4.231, 10.723 Å; angles 90.00, 90.00, 120.00 degrees
Element x y z (fractional)
Ge 0.667 0.333 0.498
Er 0.333 0.667 0.355
I 0.333 0.667 0.834
Y 0.000 0.000 0.645
I 0.000 0.000 0.168

Summary:
DFT total energy: -24.807 eV/f.u.
V: 166 Å³/cell
Space group: P3m1

---

Record 6
A relaxed ZrTlAgTeSeS crystal. Source: the Open Quantum Materials Database, functional GGA-PBE.

Cell lengths 8.205, 4.050, 10.570 Å; angles 90.00, 109.01, 90.00 degrees
Element x y z (fractional)
Zr 0.715 0.250 0.180
Ag 0.934 0.750 0.396
Tl 0.728 0.750 0.682
Tl 0.272 0.250 0.318
Te 0.568 0.250 0.871
Ag 0.066 0.250 0.604
Se 0.085 0.250 0.857
S 0.745 0.250 0.422
Te 0.432 0.750 0.129
S 0.255 0.750 0.578
Zr 0.285 0.750 0.820
Se 0.915 0.750 0.143

Summary:
DFT total energy: -28.802 eV/f.u.
V: 332 Å³/cell
Space group: P2_1/m

---

Record 7
A relaxed Tb3YAs4 crystal. Source: the Open Quantum Materials Database, functional GGA-PBE.

Cell lengths 7.153, 7.153, 4.131 Å; angles 90.00, 90.00, 109.48 degrees
Element x y z (fractional)
As 0.250 0.250 0.000
As 0.750 0.250 0.500
Tb 0.000 0.500 0.000
As 0.250 0.750 0.500
Tb 0.500 0.000 0.000
Y 0.000 0.000 0.500
Tb 0.500 0.500 0.500
As 0.750 0.750 0.000

Summary:
DFT total energy: -51.316 eV/f.u.
V: 199 Å³/cell
Space group: Cmmm

---

Record 8
A relaxed ZrBeReAs crystal. Source: the Open Quantum Materials Database, functional GGA-PBE.

Cell lengths 4.432, 4.432, 4.432 Å; angles 60.00, 60.00, 60.00 degrees
Element x y z (fractional)
As 0.500 0.500 0.500
Be 0.750 0.750 0.750
Zr 0.000 0.000 0.000
Re 0.250 0.250 0.250

Summary:
DFT total energy: -28.589 eV/f.u.
V: 62 Å³/cell
Space group: F-43m